DFT (PBE-GGA) results for crystalline Y2CuCl at its relaxed geometry.

Geometry as CIF:
```
data_Y2CuCl
_chemical_formula_sum 'Y6 Cu3 Cl3'
_cell_length_a 3.9639
_cell_length_b 3.9639
_cell_length_c 20.8951
_cell_angle_alpha 90.00
_cell_angle_beta 90.00
_cell_angle_gamma 120.00
_symmetry_space_group_name_H-M 'R -3 m'
_symmetry_Int_Tables_number 166
_symmetry_space_group_name_Hall '-R 3 2"'
loop_
_atom_site_label
_atom_site_fract_x
_atom_site_fract_y
_atom_site_fract_z
_atom_site_occupancy
Y1 0.0000 0.0000 0.2424 1
Cu1 0.0000 0.0000 0.5000 1
Cl1 0.0000 0.0000 0.0000 1
```

Computed properties:
The uncorrected formation energy is -749 meV per atom. For the density of states at the Fermi level, the calculation gives 0.6897 states/eV per atom. For the magnetic moment, the calculation gives 0.00 μB/atom. Its theoretical density is 4849 kg/m3.